# Tm3Ga6Rh5 PBE relaxed
data_Tm3Ga6Rh5
_chemical_formula_sum 'Tm6 Ga12 Rh10'
_cell_length_a 4.2080
_cell_length_b 12.2648
_cell_length_c 9.4035
_cell_angle_alpha 90.00
_cell_angle_beta 90.00
_cell_angle_gamma 90.00
_symmetry_space_group_name_H-M 'P m m n'
_symmetry_Int_Tables_number 59
loop_
_symmetry_equiv_pos_as_xyz
'x,y,z'
'-x,-y,-z'
'-x+1/2,-y+1/2,z'
'x+1/2,y+1/2,-z'
'x+1/2,-y,-z'
'-x+1/2,y,z'
'-x,y+1/2,-z'
'x,-y+1/2,z'
loop_
_atom_site_label
_atom_site_type_symbol
_atom_site_fract_x
_atom_site_fract_y
_atom_site_fract_z
_atom_site_occupancy
Tm1 Tm 0.2500 0.0497 0.2488 1
Tm2 Tm 0.2500 0.7500 0.2363 1
Ga1 Ga 0.2500 0.0748 0.9057 1
Ga2 Ga 0.2500 0.2500 0.0849 1
Ga3 Ga 0.2500 0.2500 0.4489 1
Ga4 Ga 0.2500 0.5938 0.5207 1
Rh1 Rh 0.2500 0.1010 0.6357 1
Rh2 Rh 0.2500 0.6324 0.9646 1
Rh3 Rh 0.2500 0.7500 0.7113 1
# **ΔH_f (0 K)**: -0.79 eV per atom
# **Total moment**: 0.0 Bohr magnetons per cell
# **E**: -5.675 eV per atom


# PrTl5 PBE relaxed
data_PrTl5
_chemical_formula_sum 'Pr2 Tl10'
_cell_length_a 4.6814
_cell_length_b 14.8926
_cell_length_c 5.0504
_cell_angle_alpha 90.00
_cell_angle_beta 90.00
_cell_angle_gamma 90.00
_symmetry_space_group_name_H-M 'C m m m'
_symmetry_Int_Tables_number 65
_symmetry_space_group_name_Hall '-C 2 2'
loop_
_atom_site_label
_atom_site_type_symbol
_atom_site_fract_x
_atom_site_fract_y
_atom_site_fract_z
_atom_site_occupancy
Pr1 Pr 0.0000 0.0000 0.0000 1
Tl1 Tl 0.0000 0.1670 0.5000 1
Tl2 Tl 0.0000 0.3290 0.0000 1
Tl3 Tl 0.0000 0.5000 0.5000 1
# **ΔH_f (0 K)**: -0.13 eV per atom
# **Total moment**: 0.0 Bohr magnetons per cell
# **E**: -2.902 eV per atom


# MnFeHg2 PBE relaxed
data_MnFeHg2
_chemical_formula_sum 'Mn4 Fe4 Hg8'
_cell_length_a 6.2998
_cell_length_b 6.2998
_cell_length_c 6.2998
_cell_angle_alpha 90.00
_cell_angle_beta 90.00
_cell_angle_gamma 90.00
_symmetry_space_group_name_H-M 'F m -3 m'
_symmetry_Int_Tables_number 225
_symmetry_space_group_name_Hall '-F 4 2 3'
loop_
_atom_site_label
_atom_site_type_symbol
_atom_site_fract_x
_atom_site_fract_y
_atom_site_fract_z
_atom_site_occupancy
Mn1 Mn 0.0000 0.0000 0.0000 1
Fe1 Fe 0.0000 0.0000 0.5000 1
Hg1 Hg 0.2500 0.2500 0.2500 1
# **ΔH_f (0 K)**: 0.93 eV per atom
# **Total moment**: 0.0 Bohr magnetons per cell
# **E**: -3.630 eV per atom


Copy entry 3 word for word.
# MnFeHg2 PBE relaxed
data_MnFeHg2
_chemical_formula_sum 'Mn4 Fe4 Hg8'
_cell_length_a 6.2998
_cell_length_b 6.2998
_cell_length_c 6.2998
_cell_angle_alpha 90.00
_cell_angle_beta 90.00
_cell_angle_gamma 90.00
_symmetry_space_group_name_H-M 'F m -3 m'
_symmetry_Int_Tables_number 225
_symmetry_space_group_name_Hall '-F 4 2 3'
loop_
_atom_site_label
_atom_site_type_symbol
_atom_site_fract_x
_atom_site_fract_y
_atom_site_fract_z
_atom_site_occupancy
Mn1 Mn 0.0000 0.0000 0.0000 1
Fe1 Fe 0.0000 0.0000 0.5000 1
Hg1 Hg 0.2500 0.2500 0.2500 1
# **ΔH_f (0 K)**: 0.93 eV per atom
# **Total moment**: 0.0 Bohr magnetons per cell
# **E**: -3.630 eV per atom


Q: Among the records above, which one has the lowest ΔH_f (0 K)?
A: Tm3Ga6Rh5